Here is a relaxed structure of TiFeCl2 from the Alexandria database. Energies are from PBE.

Calculated values
Distance to the lowest polymorph of the same formula   444 meV/atom
Final energy   -4.955 eV per atom
E_form (uncorrected)   57.3 meV/atom
SG   No. 122

a b c (Å): 5.2931 5.2931 6.2844
angles (deg): 65.09 65.09 90.00
Each line ends with the local moment (μB).
Element x y z (fractional)
Cl  0.6535  0.1250  0.2500  -0.01
Cl  0.0965  0.6250  0.2500  -0.01
Cl  0.3750  0.3465  0.7500  -0.01
Cl  0.8750  0.9035  0.7500  -0.01
Fe  0.0000  0.0000  0.0000  0.27
Fe  0.7500  0.2500  0.5000  0.27
Ti  0.5000  0.5000  0.0000  0.59
Ti  0.2500  0.7500  0.5000  0.59

Here is a relaxed structure of TiFeCl2 from the Alexandria database. Energies are from PBE.

Calculated values
Distance to the lowest polymorph of the same formula   0 meV/atom
Final energy   -5.400 eV per atom
E_form (uncorrected)   -387.2 meV/atom
SG   No. 166

a b c (Å): 8.3467 8.3467 8.3467
angles (deg): 21.36 21.36 21.36
Each line ends with the local moment (μB).
Element x y z (fractional)
Cl  0.9034  0.9034  0.9034  0.01
Cl  0.0966  0.0966  0.0966  0.01
Fe  0.0000  0.0000  0.0000  2.87
Ti  0.5000  0.5000  0.5000  -0.04

Here is a relaxed structure of TiZnFe2Cl from the Alexandria database. Energies are from PBE.

Calculated values
Final energy   -5.160 eV per atom
E_form (uncorrected)   428.2 meV/atom
SG   No. 123

a b c (Å): 4.1372 4.4134 4.1372
angles (deg): 90.00 90.00 90.00
Each line ends with the local moment (μB).
Element x y z (fractional)
Zn  0.5000  0.5000  0.5000  -0.03
Cl  0.0000  0.0000  0.0000  0.02
Fe  0.0000  0.0000  0.5000  1.85
Fe  0.5000  0.0000  0.0000  1.99
Ti  0.0000  0.5000  0.0000  -0.36

Here is a relaxed structure of TiZn2FeCl from the Alexandria database. Energies are from PBE.

Calculated values
Final energy   -3.936 eV per atom
E_form (uncorrected)   214.5 meV/atom
SG   No. 123

a b c (Å): 4.7458 4.2304 4.7458
angles (deg): 90.00 90.00 90.00
Element x y z (fractional)
Zn  0.0000  0.0000  0.5000
Zn  0.5000  0.0000  0.0000
Cl  0.5000  0.5000  0.5000
Fe  0.0000  0.0000  0.0000
Ti  0.0000  0.5000  0.0000

Here is a relaxed structure of Tl2FeCl6 from the Alexandria database. Energies are from PBE.

Calculated values
Final energy   -3.474 eV per atom
E_form (uncorrected)   -776.5 meV/atom
SG   No. 12

a b c (Å): 6.2512 6.8641 6.8641
angles (deg): 60.12 88.50 88.50
Each line ends with the local moment (μB).
Element x y z (fractional)
Tl  0.8109  0.6697  0.6697  0.02
Tl  0.1891  0.3303  0.3303  0.02
Fe  0.0000  0.0000  0.0000  1.80
Cl  0.2070  0.3081  0.8425  0.01
Cl  0.2106  0.8418  0.8418  0.01
Cl  0.2070  0.8425  0.3081  0.01
Cl  0.7930  0.6919  0.1575  0.01
Cl  0.7894  0.1582  0.1582  0.01
Cl  0.7930  0.1575  0.6919  0.01

Here is a relaxed structure of Tl2FeCl from the Alexandria database. Energies are from PBE.

Calculated values
Distance to the lowest polymorph of the same formula   376 meV/atom
Final energy   -3.396 eV per atom
E_form (uncorrected)   364.5 meV/atom
SG   No. 122

a b c (Å): 5.9782 5.9782 8.7384
angles (deg): 70.00 70.00 90.00
Each line ends with the local moment (μB).
Element x y z (fractional)
Tl  0.6911  0.1250  0.2500  -0.04
Tl  0.0589  0.6250  0.2500  -0.04
Tl  0.3750  0.3089  0.7500  -0.03
Tl  0.8750  0.9411  0.7500  -0.03
Fe  0.0000  0.0000  0.0000  2.85
Fe  0.7500  0.2500  0.5000  2.86
Cl  0.5000  0.5000  0.0000  0.01
Cl  0.2500  0.7500  0.5000  0.01

What did the fourth record say?
Here is a relaxed structure of TiZn2FeCl from the Alexandria database. Energies are from PBE.

Calculated values
Final energy   -3.936 eV per atom
E_form (uncorrected)   214.5 meV/atom
SG   No. 123

a b c (Å): 4.7458 4.2304 4.7458
angles (deg): 90.00 90.00 90.00
Element x y z (fractional)
Zn  0.0000  0.0000  0.5000
Zn  0.5000  0.0000  0.0000
Cl  0.5000  0.5000  0.5000
Fe  0.0000  0.0000  0.0000
Ti  0.0000  0.5000  0.0000